No. 1
The following is a DFT calculation (PBE) of an optimized crystal structure of NaTmCdPb.

Geometry as POSCAR:
```
NaTmCdPb
1.0
0.000 3.746 3.746
3.746 0.000 3.746
3.746 3.746 0.000
Na Tm Cd Pb
1 1 1 1
Cartesian
0.000 0.000 0.000 Na
3.746 3.746 3.746 Tm
5.618 5.618 5.618 Cd
1.873 1.873 1.873 Pb
```

- Calculated volume: 105.1 Å³/f.u.
- E: -11.41 eV/cell
- Formation energy: -0.250 eV/atom
- Total moment: 0.000 μB per formula unit

***

No. 2
The following is a DFT calculation (PBE) of an optimized crystal structure of NaZnCdPb.

Geometry as POSCAR:
```
NaZnCdPb
1.0
0.000 3.667 3.667
3.667 0.000 3.667
3.667 3.667 0.000
Na Zn Cd Pb
1 1 1 1
Cartesian
0.000 0.000 0.000 Na
1.833 1.833 1.833 Zn
5.500 5.500 5.500 Cd
3.667 3.667 3.667 Pb
```

- Calculated volume: 98.6 Å³/f.u.
- E: -7.11 eV/cell
- Formation energy: 0.027 eV/atom
- Total moment: 0.000 μB per formula unit

***

No. 3
The following is a DFT calculation (PBE) of an optimized crystal structure of NaCd3Pd2.

Geometry as POSCAR:
```
NaCd3Pd2
1.0
6.520 0.000 0.000
-3.260 5.646 0.000
0.000 0.000 3.933
Na Cd Pd
1 3 2
Cartesian
0.000 0.000 0.000 Na
-1.630 2.823 0.000 Cd
3.260 0.000 0.000 Cd
1.630 2.823 0.000 Cd
0.000 3.764 1.967 Pd
3.260 1.882 1.967 Pd
```

- Calculated volume: 144.8 Å³/f.u.
- E: -15.31 eV/cell
- Formation energy: -0.144 eV/atom
- Total moment: 0.000 μB per formula unit
- ΔE to the lowest computed polymorph: 0.111 eV/atom

***

No. 4
The following is a DFT calculation (PBE) of an optimized crystal structure of NaCd2Pd.

Geometry as POSCAR:
```
NaCd2Pd
1.0
-2.141 2.141 9.896
2.141 -2.141 9.896
2.141 2.141 -9.896
Na Cd Pd
2 4 2
Cartesian
0.000 0.000 0.000 Na
0.000 2.141 4.948 Na
1.070 -0.964 7.422 Cd
1.177 1.070 2.474 Cd
1.070 3.104 -2.474 Cd
0.964 1.070 12.371 Cd
2.141 0.000 4.948 Pd
0.000 0.000 9.896 Pd
```

- Calculated volume: 90.7 Å³/f.u.
- E: -16.56 eV/cell
- Formation energy: 0.016 eV/atom
- Total moment: 0.000 μB per formula unit

***

No. 5
The following is a DFT calculation (PBE) of an optimized crystal structure of NaCd3Pd2.

Geometry as POSCAR:
```
NaCd3Pd2
1.0
5.968 0.000 0.000
-2.984 5.169 0.000
0.000 0.000 4.337
Na Cd Pd
1 3 2
Cartesian
0.000 0.000 0.000 Na
-1.492 2.584 2.168 Cd
2.984 0.000 2.168 Cd
1.492 2.584 2.168 Cd
0.000 3.446 0.000 Pd
2.984 1.723 0.000 Pd
```

- Calculated volume: 133.8 Å³/f.u.
- E: -15.98 eV/cell
- Formation energy: -0.255 eV/atom
- Total moment: 0.000 μB per formula unit
- ΔE to the lowest computed polymorph: 0.000 eV/atom

***

No. 6
The following is a DFT calculation (PBE) of an optimized crystal structure of NaCd3Pd.

Geometry as POSCAR:
```
NaCd3Pd
1.0
4.436 0.000 0.000
0.000 4.436 0.000
0.000 0.000 6.271
Na Cd Pd
1 3 1
Cartesian
0.000 0.000 0.000 Na
0.000 2.218 2.758 Cd
2.218 0.000 2.758 Cd
2.218 2.218 4.785 Cd
2.218 2.218 1.158 Pd
```

- Calculated volume: 123.4 Å³/f.u.
- E: -9.85 eV/cell
- Formation energy: -0.118 eV/atom
- Total moment: 0.000 μB per formula unit
- ΔE to the lowest computed polymorph: 0.083 eV/atom

***

No. 7
The following is a DFT calculation (PBE) of an optimized crystal structure of Na2CdPd2.

Geometry as POSCAR:
```
Na2CdPd2
1.0
-1.893 1.893 7.027
1.893 -1.893 7.027
1.893 1.893 -7.027
Na Cd Pd
2 1 2
Cartesian
1.893 0.000 3.513 Na
0.000 1.893 3.513 Na
0.000 0.000 0.000 Cd
0.000 0.000 5.709 Pd
0.000 0.000 8.345 Pd
```

- Calculated volume: 100.7 Å³/f.u.
- E: -13.48 eV/cell
- Formation energy: 0.092 eV/atom
- Total moment: 0.000 μB per formula unit
- ΔE to the lowest computed polymorph: 0.263 eV/atom

***

No. 8
The following is a DFT calculation (PBE) of an optimized crystal structure of Na3Cd2Pd.

Geometry as POSCAR:
```
Na3Cd2Pd
1.0
5.136 -4.980 0.000
5.136 4.980 0.000
0.000 0.000 6.006
Na Cd Pd
6 4 2
Cartesian
3.606 2.532 1.502 Na
5.136 3.550 4.505 Na
6.665 2.532 1.502 Na
3.606 -2.532 4.505 Na
5.136 -3.550 1.502 Na
6.665 -2.532 4.505 Na
2.804 0.000 0.000 Cd
2.804 0.000 3.003 Cd
7.468 0.000 0.000 Cd
7.468 0.000 3.003 Cd
5.136 0.221 4.505 Pd
5.136 -0.221 1.502 Pd
```

- Calculated volume: 153.6 Å³/f.u.
- E: -23.07 eV/cell
- Formation energy: -0.092 eV/atom
- Total moment: 0.000 μB per formula unit
- ΔE to the lowest computed polymorph: 0.055 eV/atom

***

No. 9
The following is a DFT calculation (PBE) of an optimized crystal structure of NaCd3Pd.

Geometry as POSCAR:
```
NaCd3Pd
1.0
9.234 0.000 0.000
0.000 4.203 0.000
0.000 0.000 12.117
Na Cd Pd
4 12 4
Cartesian
1.669 1.051 0.026 Na
2.948 3.152 6.085 Na
6.286 1.051 6.033 Na
7.565 3.152 12.091 Na
0.454 1.051 5.041 Cd
0.693 3.152 2.594 Cd
1.675 3.152 9.467 Cd
2.942 1.051 3.409 Cd
3.924 1.051 8.653 Cd
4.163 3.152 11.100 Cd
5.071 1.051 1.017 Cd
5.310 3.152 3.464 Cd
6.292 3.152 8.709 Cd
7.559 1.051 2.650 Cd
8.541 1.051 9.523 Cd
8.780 3.152 7.076 Cd
1.373 1.051 7.663 Pd
3.244 3.152 1.604 Pd
5.989 1.051 10.513 Pd
7.861 3.152 4.455 Pd
```

- Calculated volume: 117.6 Å³/f.u.
- E: -41.05 eV/cell
- Formation energy: -0.201 eV/atom
- Total moment: 0.000 μB per formula unit
- ΔE to the lowest computed polymorph: 0.000 eV/atom

***

No. 10
The following is a DFT calculation (PBE) of an optimized crystal structure of NaCdPd.

Geometry as POSCAR:
```
NaCdPd
1.0
-2.851 2.937 3.780
2.851 -2.937 3.780
2.851 2.937 -3.780
Na Cd Pd
2 2 2
Cartesian
0.000 1.469 0.829 Na
2.851 1.469 2.951 Na
2.851 0.000 0.000 Cd
0.000 0.000 3.780 Cd
1.426 1.469 -1.890 Pd
1.426 -1.469 1.890 Pd
```

- Calculated volume: 63.3 Å³/f.u.
- E: -16.60 eV/cell
- Formation energy: -0.291 eV/atom
- Total moment: 0.000 μB per formula unit
- ΔE to the lowest computed polymorph: 0.000 eV/atom

***

No. 11
The following is a DFT calculation (PBE) of an optimized crystal structure of Na2Cd4Pd.

Geometry as POSCAR:
```
Na2Cd4Pd
1.0
1.550 -16.458 0.000
1.550 16.458 0.000
0.000 0.000 3.098
Na Cd Pd
2 4 1
Cartesian
1.550 14.476 0.000 Na
1.550 -14.476 0.000 Na
1.550 9.553 0.000 Cd
1.550 4.548 1.549 Cd
1.550 -4.548 1.549 Cd
1.550 -9.553 0.000 Cd
1.550 0.000 1.549 Pd
```

- Calculated volume: 158.1 Å³/f.u.
- E: -11.69 eV/cell
- Formation energy: -0.029 eV/atom
- Total moment: 0.000 μB per formula unit
- ΔE to the lowest computed polymorph: 0.000 eV/atom

***

No. 12
The following is a DFT calculation (PBE) of an optimized crystal structure of Na3CdPd.

Geometry as POSCAR:
```
Na3CdPd
1.0
5.457 0.000 0.000
0.000 5.457 0.000
0.000 0.000 5.457
Na Cd Pd
3 1 1
Cartesian
0.000 0.000 2.728 Na
0.000 2.728 0.000 Na
2.728 0.000 0.000 Na
2.728 2.728 2.728 Cd
0.000 0.000 0.000 Pd
```

- Calculated volume: 162.5 Å³/f.u.
- E: -9.47 eV/cell
- Formation energy: 0.119 eV/atom
- Total moment: 0.000 μB per formula unit
- ΔE to the lowest computed polymorph: 0.245 eV/atom